Record 1
The following is a DFT calculation (PBE+U) of a relaxed structure of ZnCo2O4.

Properties
crystal system: trigonal
E above lowest polymorph: 0 meV/atom
DOS(E_F): 17.6 states/eV/cell

Lattice parameters (Å, degrees): 5.823 5.823 14.377 90.00 90.00 120.00
Last column: magnetic moment on the atom in μB.
Sites, in units of the cell vectors:
Zn  0.333  0.667  0.957  -0.01
Zn  0.000  0.000  0.624  -0.01
Zn  0.667  0.333  0.667  -0.01
Zn  0.667  0.333  0.285  0.01
Zn  0.000  0.000  0.003  -0.03
Zn  0.000  0.000  0.374  -0.01
Co  0.833  0.167  0.835  -0.04
Co  0.833  0.666  0.835  -0.04
Co  0.500  0.500  0.497  1.81
Co  0.334  0.167  0.835  -0.04
Co  0.500  0.999  0.497  1.81
Co  0.333  0.667  0.332  -0.02
Co  0.333  0.667  0.714  2.56
Co  0.167  0.833  0.169  0.02
Co  0.001  0.500  0.497  1.81
Co  0.167  0.334  0.169  0.02
Co  0.666  0.833  0.169  0.02
Co  0.667  0.333  0.045  2.63
O  0.152  0.848  0.907  -0.05
O  0.000  0.000  0.763  0.00
O  0.152  0.304  0.907  -0.05
O  0.696  0.848  0.907  -0.05
O  0.820  0.180  0.568  -0.07
O  0.973  0.486  0.762  -0.02
O  0.667  0.333  0.421  0.06
O  0.514  0.027  0.762  -0.02
O  0.667  0.333  0.905  0.03
O  0.820  0.641  0.568  -0.07
O  0.359  0.180  0.568  -0.07
O  0.514  0.486  0.762  -0.02
O  0.479  0.521  0.246  0.00
O  0.628  0.814  0.420  -0.06
O  0.186  0.372  0.420  -0.06
O  0.333  0.667  0.099  0.00
O  0.333  0.667  0.576  0.05
O  0.479  0.958  0.246  0.00
O  0.042  0.521  0.246  0.00
O  0.186  0.814  0.420  -0.06
O  0.309  0.154  0.097  0.01
O  0.846  0.691  0.097  0.01
O  0.000  0.000  0.238  -0.01
O  0.846  0.154  0.097  0.01

Record 2
The following is a DFT calculation (PBE+U) of a relaxed structure of ZnCo2O3.

Properties
crystal system: monoclinic
E above lowest polymorph: 0 meV/atom

Lattice parameters (Å, degrees): 5.659 5.659 5.662 99.60 99.60 120.03
Last column: magnetic moment on the atom in μB.
Sites, in units of the cell vectors:
Zn  0.096  0.928  0.507  0.03
Zn  0.928  0.096  0.007  0.03
Co  0.595  0.429  0.008  2.68
Co  0.763  0.262  0.508  2.68
Co  0.429  0.595  0.508  2.68
Co  0.262  0.763  0.008  2.68
O  0.054  0.220  0.383  0.10
O  0.220  0.054  0.883  0.10
O  0.887  0.388  0.883  0.14
O  0.388  0.887  0.383  0.14
O  0.553  0.720  0.883  0.14
O  0.720  0.553  0.383  0.14

Record 3
The following is a DFT calculation (PBE+U) of a relaxed structure of ZnCo2O4.

Properties
crystal system: orthorhombic
E above lowest polymorph: 62 meV/atom

Lattice parameters (Å, degrees): 5.863 5.863 5.863 119.99 119.94 90.06
Last column: magnetic moment on the atom in μB.
Sites, in units of the cell vectors:
Zn  0.500  0.500  0.000  0.07
Zn  0.000  0.500  0.500  0.07
Co  0.867  0.117  0.750  2.94
Co  0.133  0.883  0.250  2.94
Co  0.500  0.000  0.000  0.11
Co  0.500  0.500  0.500  0.11
O  0.268  0.763  0.995  0.22
O  0.728  0.754  0.974  0.15
O  0.268  0.273  0.505  0.22
O  0.280  0.754  0.526  0.15
O  0.720  0.246  0.474  0.15
O  0.272  0.246  0.026  0.15
O  0.732  0.727  0.495  0.22
O  0.732  0.237  0.005  0.22

Record 4
The following is a DFT calculation (PBE+U) of a relaxed structure of ZrCoO2.

Properties
crystal system: tetragonal
E above lowest polymorph: 208 meV/atom
DOS(E_F): 3.3 states/eV/cell

Lattice parameters (Å, degrees): 4.222 4.222 6.592 71.32 71.32 90.00
Last column: magnetic moment on the atom in μB.
Sites, in units of the cell vectors:
Co  0.500  0.500  0.000  1.90
Co  0.250  0.750  0.500  1.89
O  0.629  0.125  0.250  0.01
O  0.121  0.625  0.250  0.01
O  0.375  0.371  0.750  0.02
O  0.875  0.879  0.750  0.02
Zr  0.000  0.000  0.000  -0.21
Zr  0.750  0.250  0.500  -0.22

no.,total energy (eV/atom)
1,-5.5492
2,-5.5382
3,-5.4876
4,-7.4906